Record 1
Density functional theory data (PBE-GGA) for a relaxed structure of LaNdBi.

a b c (Å): 5.1856 4.3719 10.0063
angles (deg): 90.00 90.00 90.00
With the nearest neighbours (Å) after each atom.
Sites, in units of the cell vectors:
La 0.5000 0.5009 0.2500  4 Bi 3.39, 4 Nd 3.60
La 0.5000 0.4991 0.7500  4 Bi 3.39, 4 Nd 3.60
Bi 0.0000 0.9995 0.7500  4 Nd 3.32, 4 La 3.39
Bi 0.0000 0.0005 0.2500  4 Nd 3.32, 4 La 3.39
Nd 0.0000 0.5000 0.5000  4 Bi 3.32, 4 La 3.60
Nd 0.0000 0.5000 0.0000  4 Bi 3.32, 4 La 3.60

## Properties
Energy relative to the elements ... -41.89 kJ per mole of atoms
SG ... Pmma, No. 51

***

Record 2
Density functional theory data (PBE-GGA) for a relaxed structure of LaNdBi2.

a b c (Å): 4.6613 4.6613 8.0597
angles (deg): 73.16 73.16 60.03
With the nearest neighbours (Å) after each atom.
Sites, in units of the cell vectors:
La 0.5000 0.5000 0.5000  6 Bi 3.31
Nd 0.0000 0.0000 0.0000  6 Bi 3.28
Bi 0.7487 0.7487 0.7542  3 Nd 3.28, 3 La 3.31
Bi 0.2513 0.2513 0.2458  3 Nd 3.28, 3 La 3.31

## Properties
Energy relative to the elements ... -96.83 kJ per mole of atoms
SG ... R-3m, No. 166
Polymorph energy (0 for the lowest one) ... 0.000 eV/atom

***

Number 1: D(E_F) 4.08 states/eV/f.u.. Number 2: D(E_F) 0.58 states/eV/f.u..